Li5Al2Sn5 PBE optimized geometry; SG = C2/m (12)
1.0
-4.425 -0.629 -0.975
1.216 -0.584 5.591
-1.542 11.689 -0.546
Li Al Sn
5 2 5
Direct
0.500 0.000 0.500
0.656 0.313 0.015
0.762 0.524 0.388
0.238 0.476 0.612
0.344 0.687 0.985
0.103 0.206 0.806
0.897 0.794 0.194
0.087 0.174 0.386
0.758 0.516 0.798
0.242 0.484 0.202
0.913 0.826 0.614
0.000 0.000 0.000

Sm3Er2Ag2 PBE optimized geometry; energy relative to the lowest polymorph listed for this composition = 0.159 eV per atom; SG = P2/m (10)
1.0
4.865 0.000 0.644
0.000 3.450 0.000
0.920 0.000 11.683
Sm Er Ag
3 2 2
Direct
0.858 0.000 0.283
0.000 0.000 0.000
0.142 0.000 0.717
0.709 0.500 0.582
0.291 0.500 0.418
0.571 0.500 0.858
0.429 0.500 0.142

MnRe3Ir PBE optimized geometry; energy relative to the lowest polymorph listed for this composition = 0.000 eV per atom; SG = Pm-3m (221)
1.0
4.360 0.000 0.000
0.000 4.360 0.000
0.000 0.000 4.360
Re Ir Mn
3 1 1
Direct
0.000 0.500 0.000
0.000 0.000 0.500
0.500 0.000 0.000
0.500 0.500 0.500
0.000 0.000 0.000

AcSmAs PBE optimized geometry; energy relative to the lowest polymorph listed for this composition = 0.024 eV per atom; SG = I4mm (107)
1.0
3.832 0.000 0.000
0.000 3.832 0.000
-1.916 -1.916 6.529
Ac As Sm
1 1 1
Direct
0.030 0.030 0.060
0.679 0.679 0.358
0.291 0.291 0.582

V4Ga2C PBE optimized geometry; energy relative to the lowest polymorph listed for this composition = 0.164 eV per atom; SG = P2/m (10)
1.0
2.792 0.000 0.000
0.000 7.455 0.835
0.000 -2.836 4.209
V Ga C
4 2 1
Direct
0.500 0.076 0.810
0.000 0.393 0.301
0.500 0.067 0.333
0.000 0.750 0.842
0.500 0.419 0.796
0.500 0.724 0.347
0.000 0.071 0.071

MnGaCoMo PBE optimized geometry; SG = F-43m (216)
1.0
-3.567 0.216 2.140
-3.448 -1.779 -1.514
-1.551 -3.414 1.814
Mo Mn Co Ga
1 1 1 1
Direct
0.250 0.250 0.250
0.500 0.500 0.500
0.000 0.000 0.000
0.750 0.750 0.750

| no. | magnetic moment (μB per formula unit) | DFT formation energy (eV/atom) |
| --- | --- | --- |
| 1 | 0.0 | -0.139 |
| 2 | 0.0 | 0.043 |
| 3 | 0.0 | 1.526 |
| 4 | 0.0 | -0.700 |
| 5 | 0.0 | -0.128 |
| 6 | 1.0 | -0.043 |